First-principles (PBE) data for a geometry-optimized NdHo4Tl structure, as listed in Alexandria.

The structure in POSCAR format:
```
NdHo4Tl
1.0
6.3966 -0.7763 0.0000
-2.6382 8.6086 0.0000
-1.8792 -3.9162 7.0492
Tl Ho Nd
2 8 2
Cartesian
1.5991 -0.1941 0.0033 Tl
0.2801 4.1103 7.0459 Tl
0.0993 0.7857 2.6775 Ho
1.7799 3.1305 4.3717 Ho
3.5022 1.9302 1.7909 Ho
3.0990 -1.1738 2.6775 Ho
-1.6230 1.9859 5.2583 Ho
3.4545 5.5140 1.7909 Ho
-1.5753 -1.5978 5.2583 Ho
-1.2198 5.0900 4.3717 Ho
0.2801 4.1103 1.2554 Nd
1.5991 -0.1941 5.7938 Nd
```

Calculated density in g/cm³: 9.0
Symmetry: C2/c (15)
DOS(E_F) in states/eV/f.u.: 6.7
Formation energy from the elements in meV per atom: -18
Size of the total moment in μB/f.u.: 0.00
Calculated total energy in eV/cell: -51.1